(1)
First-principles (PBE-GGA) data for a relaxed Dy12TlCo5 crystal, as listed in the Alexandria database.

a = 8.279 Å, b = 8.279 Å, c = 8.279 Å
α = 107.22°, β = 110.67°, γ = 110.55°
Sites, in units of the cell vectors:
Dy (0.695, 0.686, 0.380)
Dy (0.522, 0.815, 0.708)
Dy (0.305, 0.314, 0.620)
Co (0.500, 0.887, 0.387)
Dy (0.192, 0.984, 0.792)
Dy (0.808, 0.016, 0.208)
Dy (0.808, 0.600, 0.792)
Co (0.000, 0.000, 0.000)
Dy (0.478, 0.185, 0.292)
Dy (0.695, 0.314, 0.009)
Co (0.500, 0.113, 0.613)
Dy (0.305, 0.686, 0.991)
Co (0.621, 0.621, 0.000)
Dy (0.107, 0.815, 0.292)
Tl (0.000, 0.500, 0.500)
Dy (0.893, 0.185, 0.708)
Dy (0.192, 0.400, 0.208)
Co (0.379, 0.379, 0.000)

Results
Energy of formation from the pure elements ... -0.2297 eV per atom
Magnetization ... 0.00 μB per formula unit
Energy ... -5.40 eV per atom

=====

(2)
First-principles (PBE-GGA) data for a relaxed Sc3Pd crystal, as listed in the Alexandria database.

a = 3.445 Å, b = 4.879 Å, c = 5.838 Å
α = 114.70°, β = 107.16°, γ = 90.00°
Sites, in units of the cell vectors:
Sc (0.287, 0.704, 0.574)
Sc (0.500, 0.417, 0.000)
Pd (0.000, 0.917, 0.000)
Sc (0.713, 0.130, 0.426)

Results
Energy of formation from the pure elements ... -0.4457 eV per atom
Magnetization ... 0.00 μB per formula unit
Energy ... -6.49 eV per atom